A geometry-optimized NaMoCl6 structure. Source: OQMD, functional GGA-PBE.

POSCAR file:
```
NaMoCl6
1.0
6.344 0.000 0.000
0.000 6.344 0.000
0.000 0.000 10.663
Na Mo Cl
2 2 12
Direct
0.000 0.000 0.250 Na
0.000 0.000 0.750 Na
0.000 0.500 0.000 Mo
0.500 0.000 0.500 Mo
0.195 0.211 0.500 Cl
0.211 0.805 0.000 Cl
0.216 0.352 0.155 Cl
0.216 0.352 0.845 Cl
0.352 0.784 0.345 Cl
0.352 0.784 0.655 Cl
0.648 0.216 0.345 Cl
0.648 0.216 0.655 Cl
0.784 0.648 0.155 Cl
0.784 0.648 0.845 Cl
0.789 0.195 0.000 Cl
0.805 0.789 0.500 Cl
```

Summary:
symmetry = No. 84
crystal system = tetragonal
total energy = -3.938 eV/atom
theoretical density = 2.57 g cm⁻³